This record from Alexandria via LeMat-Bulk describes a relaxed CrGePdO crystal. The functional is GGA+U.

Geometry as POSCAR:
```
CrGePdO
1.0
-0.953 -1.367 -2.523
-2.226 -2.041 0.140
-6.237 4.412 -1.869
O Cr Pd Ge
1 1 1 1
direct
0.934 0.010 0.119 O
0.228 0.304 0.236 Cr
0.463 0.539 0.526 Pd
0.041 0.118 0.784 Ge
```

## Properties
- Crystal system: monoclinic
- Space-group type: Cm
- Total DFT energy (no corrections): -6.1788 eV per atom